Record 1
This record from Alexandria via LeMat-Bulk describes crystalline TaHI2 at its relaxed geometry. The functional is PBE-GGA.

The structure in POSCAR format:
```
TaHI2
1.0
-0.842 -2.213 -2.818
1.195 -7.446 3.117
-7.936 -2.560 1.988
Ta H I
2 2 4
Cartesian
-2.967 -4.448 -0.437
-0.453 -3.072 0.141
-1.393 -3.737 -1.459
-4.152 -5.302 0.587
-6.845 -7.706 0.891
-4.152 -2.007 0.405
-7.031 -11.006 3.572
-1.567 -4.966 1.956
```

Calculated values
E_tot	-4.715	eV/atom
SG	No. 1

***

Record 2
This record from Alexandria via LeMat-Bulk describes crystalline YInHg2 at its relaxed geometry. The functional is PBE-GGA.

The structure in POSCAR format:
```
YInHg2
1.0
-0.368 -9.470 1.409
2.341 -9.233 -1.036
3.037 -8.731 2.519
Hg In Y
2 1 1
Cartesian
5.010 -27.429 2.893
2.506 -13.720 1.447
3.758 -20.575 2.170
1.253 -6.858 0.723
```

Calculated values
E_tot	-2.629	eV/atom
SG	No. 166
ΔE_f	-68	kJ/mol of formula units

***

Record 3
This record from Alexandria via LeMat-Bulk describes crystalline Li2B2Rh5 at its relaxed geometry. The functional is PBE-GGA.

The structure in POSCAR format:
```
Li2B2Rh5
1.0
5.919 0.000 0.000
0.000 5.356 -2.754
0.000 0.192 6.961
Li B Rh
4 4 10
Cartesian
0.000 1.277 2.485
2.959 3.956 1.108
0.000 4.271 1.722
2.959 1.593 3.099
3.693 4.712 -2.422
2.226 0.644 -0.331
0.734 3.322 -1.708
5.185 2.034 -1.046
0.000 5.356 -2.754
2.959 2.678 -1.377
4.921 4.233 -0.599
0.998 2.406 0.341
1.961 5.084 -1.036
3.957 1.555 0.778
0.998 1.315 4.806
4.921 3.143 3.866
3.957 0.465 5.243
1.961 3.993 3.429
```

Calculated values
E_tot	-6.125	eV/atom
SG	No. 64
ΔE_f	-114	kJ/mol of formula units

***

Record 4
This record from Alexandria via LeMat-Bulk describes crystalline Pr4RhI2N at its relaxed geometry. The functional is PBE-GGA.

The structure in POSCAR format:
```
Pr4RhI2N
1.0
-3.417 1.757 -0.963
-3.579 -4.786 3.968
1.834 6.345 5.066
Pr Rh I N
4 1 2 1
Cartesian
-2.101 1.036 1.199
-3.060 2.279 6.872
0.618 4.024 5.147
-2.362 -2.465 3.886
-3.498 -1.515 1.502
-0.791 4.051 2.051
-0.872 0.779 4.517
0.000 0.000 0.000
```

Calculated values
formation energy from raw total energies	-965	meV per atom
E_tot	-5.702	eV/atom
SG	No. 10